(1)
! TeSe (meta-GGA SCAN, PBEsol geometry); values from VASP
&SYSTEM
  ibrav = 0, nat = 6, ntyp = 2
/
ATOMIC_SPECIES
Te 127.60 Te.upf
Se 78.96 Se.upf
CELL_PARAMETERS angstrom
-3.209 2.473 0.742
-3.801 -1.641 0.363
1.445 -1.331 10.931
ATOMIC_POSITIONS crystal
Te 0.989 0.713 0.997
Te 0.285 0.998 0.177
Te 0.275 0.015 0.660
Se 0.737 0.259 0.342
Se 0.731 0.255 0.826
Se 0.983 0.760 0.498
! - raw formation energy (eV per atom) = -0.004
! - total magnetization (μB per formula unit) = 0.00
! - SG = P1 (1)

---

(2)
! FeTeP2O8 (meta-GGA SCAN, PBEsol geometry); values from VASP
&SYSTEM
  ibrav = 0, nat = 24, ntyp = 4
/
ATOMIC_SPECIES
Fe 55.84 Fe.upf
Te 127.60 Te.upf
P 30.97 P.upf
O 16.00 O.upf
CELL_PARAMETERS angstrom
4.764 0.000 -0.028
0.000 6.585 0.000
-1.273 0.000 9.690
ATOMIC_POSITIONS crystal
Fe 0.933 0.750 0.766
Fe 0.067 0.250 0.234
Te 0.410 0.250 0.693
Te 0.590 0.750 0.307
P 0.331 0.750 0.589
P 0.669 0.250 0.411
P 0.889 0.250 0.894
P 0.111 0.750 0.106
O 0.774 0.250 0.568
O 0.226 0.750 0.432
O 0.656 0.750 0.603
O 0.344 0.250 0.397
O 0.199 0.250 0.864
O 0.801 0.750 0.136
O 0.113 0.750 0.952
O 0.887 0.250 0.048
O 0.213 0.933 0.665
O 0.213 0.567 0.665
O 0.787 0.433 0.335
O 0.787 0.067 0.335
O 0.711 0.069 0.819
O 0.711 0.431 0.819
O 0.289 0.931 0.181
O 0.289 0.569 0.181
! - raw formation energy (eV per atom) = -1.904
! - total magnetization (μB per formula unit) = 4.00
! - SG = P2_1/m (11)

---

(3)
! Cs2CdHg (meta-GGA SCAN, PBEsol geometry); values from VASP
&SYSTEM
  ibrav = 0, nat = 4, ntyp = 3
/
ATOMIC_SPECIES
Cs 132.91 Cs.upf
Hg 200.59 Hg.upf
Cd 112.41 Cd.upf
CELL_PARAMETERS angstrom
-6.070 1.476 0.422
-3.917 -3.730 3.154
-2.391 1.883 5.472
ATOMIC_POSITIONS crystal
Cs 0.250 0.250 0.250
Cs 0.750 0.750 0.750
Hg 0.500 0.500 0.500
Cd 0.000 0.000 0.000
! - DOS at the Fermi energy (states/eV/cell) = 4.54
! - total magnetization (μB per formula unit) = 0.04
! - energy of formation (eV per atom) = -0.098
! - SG = Fm-3m (225)

---

(4)
! CaAgAs3 (meta-GGA SCAN, PBEsol geometry); values from VASP
&SYSTEM
  ibrav = 0, nat = 5, ntyp = 3
/
ATOMIC_SPECIES
As 74.92 As.upf
Ca 40.08 Ca.upf
Ag 107.87 Ag.upf
CELL_PARAMETERS angstrom
-0.074 -2.939 4.016
4.944 0.415 0.395
-0.568 3.995 2.913
ATOMIC_POSITIONS crystal
As 0.000 0.500 0.000
As 0.000 0.000 0.500
As 0.500 0.000 0.000
Ca 0.500 0.500 0.500
Ag 0.000 0.000 0.000
! - DOS at the Fermi energy (states/eV/cell) = 3.22
! - total magnetization (μB per formula unit) = 0.00
! - energy of formation (eV per atom) = 0.182
! - SG = Pm-3m (221)

---

(5)
! CeIn2Ru (meta-GGA SCAN, PBEsol geometry); values from VASP
&SYSTEM
  ibrav = 0, nat = 8, ntyp = 3
/
ATOMIC_SPECIES
Ru 101.07 Ru.upf
Ce 140.12 Ce.upf
In 114.82 In.upf
CELL_PARAMETERS angstrom
-2.879 -2.704 -2.589
-0.745 -0.223 5.369
-4.867 5.606 -0.443
ATOMIC_POSITIONS crystal
Ru 0.168 0.336 0.750
Ru 0.832 0.664 0.250
Ce 0.061 0.123 0.250
Ce 0.939 0.877 0.750
In 0.353 0.706 0.456
In 0.647 0.294 0.544
In 0.353 0.706 0.044
In 0.647 0.294 0.956
! - DOS at the Fermi energy (states/eV/cell) = 3.28
! - total magnetization (μB per formula unit) = 0.00
! - energy of formation (eV per atom) = -0.561
! - SG = Cmcm (63)

---

(6)
! Na3CuO3 (meta-GGA SCAN, PBEsol geometry); values from VASP
&SYSTEM
  ibrav = 0, nat = 84, ntyp = 3
/
ATOMIC_SPECIES
Na 22.99 Na.upf
Cu 63.55 Cu.upf
O 16.00 O.upf
CELL_PARAMETERS angstrom
8.103 0.009 0.000
-0.800 8.063 0.000
0.000 0.000 16.291
ATOMIC_POSITIONS crystal
Na 0.524 0.476 0.281
Na 0.976 0.024 0.781
Na 0.476 0.524 0.719
Na 0.024 0.976 0.219
Na 0.167 0.333 0.250
Na 0.333 0.167 0.750
Na 0.833 0.667 0.750
Na 0.667 0.833 0.250
Na 0.328 0.672 0.220
Na 0.172 0.828 0.720
Na 0.672 0.328 0.780
Na 0.828 0.172 0.280
Na 0.127 0.480 0.070
Na 0.373 0.020 0.570
Na 0.480 0.127 0.930
Na 0.020 0.373 0.430
Na 0.873 0.520 0.930
Na 0.627 0.980 0.430
Na 0.520 0.873 0.070
Na 0.980 0.627 0.570
Na 0.177 0.229 0.913
Na 0.323 0.271 0.413
Na 0.229 0.177 0.087
Na 0.271 0.323 0.587
Na 0.823 0.771 0.087
Na 0.677 0.729 0.587
Na 0.771 0.823 0.913
Na 0.729 0.677 0.413
Na 0.163 0.518 0.815
Na 0.337 0.982 0.315
Na 0.518 0.163 0.185
Na 0.982 0.337 0.685
Na 0.837 0.482 0.185
Na 0.663 0.018 0.685
Na 0.482 0.837 0.815
Na 0.018 0.663 0.315
Cu 0.848 0.152 0.078
Cu 0.652 0.348 0.578
Cu 0.152 0.848 0.922
Cu 0.348 0.652 0.422
Cu 0.828 0.172 0.909
Cu 0.672 0.328 0.409
Cu 0.172 0.828 0.091
Cu 0.328 0.672 0.591
Cu 0.499 0.501 0.084
Cu 0.001 0.999 0.584
Cu 0.501 0.499 0.916
Cu 0.999 0.001 0.416
O 0.982 0.258 0.154
O 0.518 0.242 0.654
O 0.258 0.982 0.846
O 0.242 0.518 0.346
O 0.018 0.742 0.846
O 0.482 0.758 0.346
O 0.742 0.018 0.154
O 0.758 0.482 0.654
O 0.951 0.276 0.994
O 0.549 0.224 0.494
O 0.276 0.951 0.006
O 0.224 0.549 0.506
O 0.049 0.724 0.006
O 0.451 0.776 0.506
O 0.724 0.049 0.994
O 0.776 0.451 0.494
O 0.945 0.302 0.832
O 0.555 0.198 0.332
O 0.302 0.945 0.168
O 0.198 0.555 0.668
O 0.055 0.698 0.168
O 0.445 0.802 0.668
O 0.698 0.055 0.832
O 0.802 0.445 0.332
O 0.384 0.384 0.000
O 0.116 0.116 0.500
O 0.616 0.616 0.000
O 0.884 0.884 0.500
O 0.372 0.390 0.161
O 0.128 0.110 0.661
O 0.390 0.372 0.839
O 0.110 0.128 0.339
O 0.628 0.610 0.839
O 0.872 0.890 0.339
O 0.610 0.628 0.161
O 0.890 0.872 0.661
! - raw formation energy (eV per atom) = -1.336
! - total magnetization (μB per formula unit) = 0.00
! - SG = Cmce (64)

---

(7)
! TaHgTe2 (meta-GGA SCAN, PBEsol geometry); values from VASP
&SYSTEM
  ibrav = 0, nat = 4, ntyp = 3
/
ATOMIC_SPECIES
Te 127.60 Te.upf
Hg 200.59 Hg.upf
Ta 180.95 Ta.upf
CELL_PARAMETERS angstrom
3.594 0.000 0.000
1.797 3.112 0.000
1.797 1.037 9.522
ATOMIC_POSITIONS crystal
Te 0.269 0.269 0.194
Te 0.731 0.731 0.806
Hg 0.500 0.500 0.500
Ta 0.000 0.000 0.000
! - DOS at the Fermi energy (states/eV/cell) = 1.81
! - raw formation energy (eV per atom) = -0.202
! - total magnetization (μB per formula unit) = 0.00
! - SG = R-3m (166)

---

(8)
! FeIrC2 (meta-GGA SCAN, PBEsol geometry); values from VASP
&SYSTEM
  ibrav = 0, nat = 4, ntyp = 3
/
ATOMIC_SPECIES
C 12.01 C.upf
Ir 192.22 Ir.upf
Fe 55.84 Fe.upf
CELL_PARAMETERS angstrom
3.647 0.000 0.000
1.823 3.158 0.000
1.823 1.053 2.978
ATOMIC_POSITIONS crystal
C 0.250 0.250 0.250
C 0.750 0.750 0.750
Ir 0.500 0.500 0.500
Fe 0.000 0.000 0.000
! - DOS at the Fermi energy (states/eV/cell) = 2.06
! - total magnetization (μB per formula unit) = 0.00
! - energy of formation (eV per atom) = 1.469
! - SG = Fm-3m (225)